# 1
First-principles (PBE) data for a relaxed structure of Na5GaSn2, as listed in Alexandria.

Geometry as POSCAR:
```
Na5GaSn2
1.0
6.753 0.000 0.000
0.000 13.473 0.000
0.000 0.000 4.717
Na Ga Sn
10 2 4
Direct
0.000 0.000 0.000
0.054 0.261 0.000
0.202 0.871 0.500
0.298 0.371 0.500
0.446 0.761 0.000
0.500 0.500 0.000
0.554 0.239 0.000
0.702 0.629 0.500
0.798 0.129 0.500
0.946 0.739 0.000
0.000 0.500 0.000
0.500 0.000 0.000
0.184 0.605 0.500
0.316 0.105 0.500
0.684 0.895 0.500
0.816 0.395 0.500
```

Results
For the total energy, the calculation gives -2.279 eV/atom. The formation energy comes out at -0.61 eV/f.u. As for the symmetry: Pbam, No. 55.



# 2
First-principles (PBE) data for a relaxed structure of V2GaS, as listed in Alexandria.

Geometry as POSCAR:
```
V2GaS
1.0
0.000 3.007 3.007
3.007 0.000 3.007
3.007 3.007 0.000
V Ga S
2 1 1
Direct
0.250 0.250 0.250
0.750 0.750 0.750
0.000 0.000 0.000
0.500 0.500 0.500
```

Results
For the total energy, the calculation gives -6.345 eV/atom. The formation energy (no corrections) is 0.003 eV per atom. As for the symmetry: Fm-3m, No. 225. The energy above the most stable polymorph in this dataset comes out at 29.72 kJ per mole of atoms.



# 3
First-principles (PBE) data for a relaxed structure of CuAs2O4, as listed in Alexandria.

Geometry as POSCAR:
```
CuAs2O4
1.0
8.955 0.000 0.000
0.000 8.955 0.000
0.000 0.000 5.646
Cu As O
4 8 16
Direct
0.000 0.500 0.250
0.000 0.500 0.750
0.500 0.000 0.250
0.500 0.000 0.750
0.156 0.209 0.000
0.209 0.844 0.500
0.291 0.344 0.500
0.344 0.709 0.000
0.656 0.291 0.000
0.709 0.656 0.500
0.791 0.156 0.500
0.844 0.791 0.000
0.092 0.380 0.500
0.120 0.408 0.000
0.210 0.710 0.250
0.210 0.710 0.750
0.290 0.210 0.250
0.290 0.210 0.750
0.380 0.908 0.000
0.408 0.880 0.500
0.592 0.120 0.500
0.620 0.092 0.000
0.710 0.790 0.250
0.710 0.790 0.750
0.790 0.290 0.250
0.790 0.290 0.750
0.880 0.592 0.000
0.908 0.620 0.500
```

Results
For the total energy, the calculation gives -5.751 eV/atom. The formation energy (no corrections) is -1.004 eV per atom. As for the symmetry: P4_2/mbc, No. 135.



# 4
First-principles (PBE) data for a relaxed structure of CsNaAs2Br, as listed in Alexandria.

Geometry as POSCAR:
```
CsNaAs2Br
1.0
5.386 0.000 0.000
0.000 5.386 0.000
0.000 0.000 6.221
Cs Na As Br
1 1 2 1
Direct
0.000 0.000 0.000
0.500 0.500 0.500
0.000 0.500 0.500
0.500 0.000 0.500
0.500 0.500 0.000
```

Results
For the total energy, the calculation gives -2.594 eV/atom. The formation energy (no corrections) is 0.035 eV per atom. As for the symmetry: P4/mmm, No. 123. The energy above the most stable polymorph in this dataset comes out at 0.00 kJ per mole of atoms.



# 5
First-principles (PBE) data for a relaxed structure of Cd3HgPd12, as listed in Alexandria.

Geometry as POSCAR:
```
Cd3HgPd12
1.0
4.036 0.000 0.000
0.000 4.036 0.000
0.000 0.000 16.138
Cd Hg Pd
3 1 12
Direct
0.000 0.000 0.000
0.000 0.000 0.249
0.000 0.000 0.751
0.000 0.000 0.500
0.000 0.500 0.125
0.000 0.500 0.374
0.000 0.500 0.626
0.000 0.500 0.875
0.500 0.000 0.125
0.500 0.000 0.374
0.500 0.000 0.626
0.500 0.000 0.875
0.500 0.500 0.000
0.500 0.500 0.249
0.500 0.500 0.500
0.500 0.500 0.751
```

Results
For the total energy, the calculation gives -4.283 eV/atom. The formation energy comes out at -3.17 eV/f.u. As for the symmetry: P4/mmm, No. 123.



# 6
First-principles (PBE) data for a relaxed structure of KMnGeBr5, as listed in Alexandria.

Geometry as POSCAR:
```
KMnGeBr5
1.0
4.505 -6.209 0.000
4.505 6.209 0.000
-2.326 0.000 9.417
K Mn Ge Br
2 2 2 10
Direct
0.149 0.851 0.750
0.851 0.149 0.250
0.500 0.500 0.000
0.500 0.500 0.500
0.166 0.834 0.250
0.834 0.166 0.750
0.145 0.273 0.979
0.182 0.578 0.390
0.273 0.145 0.479
0.416 0.584 0.750
0.422 0.818 0.110
0.578 0.182 0.890
0.584 0.416 0.250
0.727 0.855 0.521
0.818 0.422 0.610
0.855 0.727 0.021
```

Results
For the total energy, the calculation gives -3.789 eV/atom. The formation energy (no corrections) is -0.883 eV per atom. As for the symmetry: C2/c, No. 15.